No. 1
PBE-GGA La6NiAg2, relaxed; magnetization = 0.0 μB/f.u.; energy of formation from the pure elements = -11 kJ/mol of atoms; E_tot = -84.1 eV/cell; E above lowest polymorph = 0.034 eV/atom; space-group type = Immm, No. 71; theoretical density = 6792 kg/m3
1.0
8.387 0.082 2.965
-4.384 7.240 2.738
-0.064 0.082 8.895
La Ni Ag
12 2 4
direct
0.844 0.753 0.403 La
0.657 0.932 0.725 La
0.343 0.618 0.725 La
0.546 0.728 0.182 La
0.156 0.247 0.597 La
0.657 0.382 0.275 La
0.844 0.247 0.909 La
0.909 0.728 0.818 La
0.454 0.272 0.818 La
0.091 0.272 0.182 La
0.156 0.753 0.091 La
0.343 0.068 0.275 La
0.500 0.500 0.000 Ni
0.000 0.000 0.000 Ni
0.137 0.637 0.500 Ag
0.863 0.363 0.500 Ag
0.648 0.000 0.352 Ag
0.352 0.000 0.648 Ag

No. 2
PBE-GGA BeTcAu, relaxed; magnetization = 0.0 μB/f.u.; energy of formation from the pure elements = 12 kJ/mol of atoms; E_tot = -17.0 eV/cell; E above lowest polymorph = 0.000 eV/atom; space-group type = I4mm, No. 107; theoretical density = 12472 kg/m3
1.0
5.633 0.003 -0.003
4.951 2.686 0.010
0.682 0.159 2.678
Be Tc Au
1 1 1
direct
0.331 0.331 0.669 Be
0.687 0.687 0.313 Tc
0.981 0.981 0.019 Au

No. 3
PBE-GGA Pm3PuGe5, relaxed; magnetization = 5.4 μB/f.u.; energy of formation from the pure elements = -55 kJ/mol of atoms; E_tot = -113.6 eV/cell; space-group type = P6_3/mcm, No. 193; theoretical density = 8237 kg/m3
1.0
-4.460 3.764 -1.215
-3.117 -5.710 -6.250
-2.867 -0.645 8.530
Ge Pu Pm
10 2 6
direct
0.250 0.286 0.000 Ge
0.500 0.667 0.333 Ge
0.000 0.667 0.333 Ge
0.250 0.714 0.714 Ge
0.750 0.000 0.714 Ge
0.750 0.714 0.000 Ge
0.500 0.333 0.667 Ge
0.750 0.286 0.286 Ge
0.250 0.000 0.286 Ge
0.000 0.333 0.667 Ge
0.000 0.000 0.000 Pu
0.500 0.000 0.000 Pu
0.750 0.381 0.000 Pm
0.250 0.619 0.000 Pm
0.250 0.381 0.381 Pm
0.750 0.619 0.619 Pm
0.750 0.000 0.381 Pm
0.250 0.000 0.619 Pm

No. 4
PBE-GGA TaV2Pd, relaxed; magnetization = 0.0 μB/f.u.; energy of formation from the pure elements = 45 kJ/mol of atoms; E_tot = -66.9 eV/cell; E above lowest polymorph = 0.517 eV/atom; space-group type = I-42d, No. 122; theoretical density = 9867 kg/m3
1.0
3.689 0.000 0.000
0.000 3.689 0.000
1.845 1.845 9.625
V Pd Ta
4 2 2
direct
0.113 0.625 0.250 V
0.637 0.125 0.250 V
0.875 0.887 0.750 V
0.375 0.363 0.750 V
0.500 0.500 0.000 Pd
0.250 0.750 0.500 Pd
0.000 0.000 0.000 Ta
0.750 0.250 0.500 Ta

No. 5
PBE-GGA Na12GaAu6, relaxed; magnetization = 0.0 μB/f.u.; energy of formation from the pure elements = -22 kJ/mol of atoms; E_tot = -42.8 eV/cell; space-group type = R-3, No. 148; theoretical density = 5548 kg/m3
1.0
7.693 -0.176 0.446
0.411 7.684 0.446
-0.190 -0.176 7.703
Au Na Ga
6 12 1
direct
0.753 0.258 0.111 Au
0.258 0.111 0.753 Au
0.742 0.889 0.247 Au
0.247 0.742 0.889 Au
0.111 0.753 0.258 Au
0.889 0.247 0.742 Au
0.619 0.972 0.854 Na
0.186 0.470 0.586 Na
0.381 0.028 0.146 Na
0.530 0.414 0.814 Na
0.470 0.586 0.186 Na
0.972 0.854 0.619 Na
0.854 0.619 0.972 Na
0.414 0.814 0.530 Na
0.814 0.530 0.414 Na
0.586 0.186 0.470 Na
0.028 0.146 0.381 Na
0.146 0.381 0.028 Na
0.000 0.000 0.000 Ga

No. 6
PBE-GGA Li5NdPd6, relaxed; magnetization = 0.0 μB/f.u.; energy of formation from the pure elements = -47 kJ/mol of atoms; E_tot = -51.4 eV/cell; space-group type = Immm, No. 71; theoretical density = 7335 kg/m3
1.0
-2.920 0.780 2.927
-3.778 -5.392 -2.332
6.341 -1.523 3.708
Pd Nd Li
6 1 5
direct
0.828 0.093 0.657 Pd
0.828 0.563 0.657 Pd
0.172 0.907 0.343 Pd
0.500 0.715 0.000 Pd
0.500 0.285 0.000 Pd
0.172 0.437 0.343 Pd
0.000 0.000 0.000 Nd
0.325 0.325 0.649 Li
0.675 0.675 0.351 Li
0.000 0.500 0.000 Li
0.325 0.825 0.649 Li
0.675 0.175 0.351 Li

No. 7
PBE-GGA Nd2HfCu, relaxed; magnetization = 0.0 μB/f.u.; energy of formation from the pure elements = 6 kJ/mol of atoms; E_tot = -23.4 eV/cell; E above lowest polymorph = 0.000 eV/atom; space-group type = P4/mmm, No. 123; theoretical density = 8586 kg/m3
1.0
3.474 0.000 0.000
0.000 3.474 0.000
0.000 0.000 8.500
Hf Nd Cu
1 2 1
direct
0.500 0.500 0.500 Hf
0.000 0.000 0.223 Nd
0.000 0.000 0.777 Nd
0.500 0.500 0.000 Cu

No. 8
PBE-GGA SrPb2Se3, relaxed; magnetization = 0.0 μB/f.u.; E_tot = -25.9 eV/cell; space-group type = Immm, No. 71; theoretical density = 6720 kg/m3
1.0
4.416 0.000 0.000
0.000 6.230 0.000
-2.208 -3.115 6.636
Se Pb Sr
3 2 1
direct
0.833 0.333 0.166 Se
0.500 0.000 0.500 Se
0.167 0.667 0.834 Se
0.833 0.833 0.167 Pb
0.167 0.167 0.833 Pb
0.500 0.500 0.500 Sr